A geometry-optimized NiCl3F structure. Source: Alexandria, functional GGA+U.

Properties
N(E_F) (states/eV per atom): 2.51
Total magnetic moment (μB/cell): 1.572
Electronic total energy (eV/atom): -1.208

abc: 4.6398 4.6398 4.6398
angles: 90.00 90.00 90.00
Positions (direct):
Ni  0.5000  0.5000  0.5000
F  0.0000  0.0000  0.0000
Cl  0.0000  0.5000  0.0000
Cl  0.0000  0.0000  0.5000
Cl  0.5000  0.0000  0.0000